No. 1
The following is a DFT calculation (PBE) of a relaxed structure of Al2Cd.

```
Al2Cd
1.0
3.602 -0.428 2.632
2.590 3.557 0.850
0.018 1.833 4.090
Al Cd
2 1
direct
0.250 0.250 0.250
0.750 0.750 0.750
0.000 0.000 0.000
```

- Final energy: -0.187 Ry per atom
- Calculated density: 4.340 g cm⁻³

***

No. 2
The following is a DFT calculation (PBE) of a relaxed structure of Al3Cd.

```
Al3Cd
1.0
-2.060 2.060 4.296
2.060 -2.060 4.296
2.060 2.060 -4.296
Al Cd
3 1
direct
0.500 0.500 0.000
0.750 0.250 0.500
0.250 0.750 0.500
0.000 0.000 0.000
```

- Final energy: -0.212 Ry per atom
- Calculated density: 4.402 g cm⁻³

***

No. 3
The following is a DFT calculation (PBE) of a relaxed structure of Al3Cd.

```
Al3Cd
1.0
-1.148 -2.594 -5.203
-2.529 -2.047 4.953
-3.768 3.022 -0.675
Al Cd
6 2
direct
0.160 0.321 0.250
0.679 0.840 0.250
0.160 0.840 0.250
0.840 0.160 0.750
0.321 0.160 0.750
0.840 0.679 0.750
0.667 0.333 0.250
0.333 0.667 0.750
```

- Final energy: -0.211 Ry per atom
- Calculated density: 4.329 g cm⁻³

***

No. 4
The following is a DFT calculation (PBE) of a relaxed structure of Al2Cd.

```
Al2Cd
1.0
-7.692 -1.066 2.763
-4.296 -6.669 -2.237
-1.615 -5.905 5.519
Al Cd
4 2
direct
0.375 0.375 0.375
0.875 0.375 0.375
0.375 0.875 0.375
0.375 0.375 0.875
0.250 0.250 0.250
0.500 0.500 0.500
```

- Final energy: -0.120 Ry per atom
- Calculated density: 1.396 g cm⁻³

***

No. 5
The following is a DFT calculation (PBE) of a relaxed structure of Al2Cd3.

```
Al2Cd3
1.0
6.028 -2.973 0.000
6.028 2.973 0.000
-3.053 0.000 6.069
Al Cd
4 6
direct
0.708 0.182 0.139
0.177 0.984 0.436
0.182 0.708 0.639
0.984 0.177 0.936
0.450 0.677 0.075
0.909 0.695 0.191
0.373 0.199 0.317
0.677 0.450 0.575
0.695 0.909 0.691
0.199 0.373 0.817
```

- Polymorph energy (0 for the lowest one): 0.0 kJ per mole of atoms
- Final energy: -0.138 Ry per atom
- Calculated density: 5.971 g cm⁻³

***

No. 6
The following is a DFT calculation (PBE) of a relaxed structure of AlCd.

```
AlCd
1.0
2.362 -4.090 0.000
2.362 4.090 0.000
0.000 0.000 5.540
Al Cd
2 2
direct
0.333 0.667 0.438
0.000 0.000 0.938
0.000 0.000 0.437
0.333 0.667 0.937
```

- Final energy: -0.138 Ry per atom
- Calculated density: 4.325 g cm⁻³